[1]
The following is a PBE calculation of a relaxed PaNbPdO6 crystal, from Alexandria.

Calculated values
The calculation puts the size of the total moment at 4.0 μB per cell. The mass density is 7.1 g cm⁻³. The calculation puts the energy relative to the elements, uncorrected at -2.25 eV/atom. The calculation puts the density of states at the Fermi level at 0.2 states/eV/f.u.

Cell lengths 5.624, 5.624, 8.998 Å; angles 90.00, 90.00, 120.00 degrees
Site moments in Bohr magnetons follow the coordinates.
Fractional coordinates of all 18 atoms:
O 0.342 0.978 0.633  0.08
O 0.022 0.658 0.867  0.08
O 0.364 0.022 0.133  0.08
O 0.364 0.342 0.367  0.08
O 0.658 0.636 0.133  0.08
O 0.342 0.364 0.867  0.08
O 0.978 0.342 0.133  0.08
O 0.978 0.636 0.367  0.08
O 0.658 0.022 0.367  0.08
O 0.022 0.364 0.633  0.08
O 0.636 0.658 0.633  0.08
O 0.636 0.978 0.867  0.08
Pd 0.000 0.000 0.500  1.31
Pd 0.000 0.000 0.000  1.31
Nb 0.333 0.667 0.750  0.08
Nb 0.667 0.333 0.250  0.08
Pa 0.667 0.333 0.750  0.07
Pa 0.333 0.667 0.250  0.07


[2]
The following is a PBE calculation of a relaxed Nb3O7F crystal, from Alexandria.

Calculated values
The energy above the most stable polymorph in this dataset is 55 meV per atom. The calculation puts the size of the total moment at 0.0 μB per cell. The mass density is 4.2 g cm⁻³. The calculation puts the energy relative to the elements, uncorrected at -2.55 eV/atom.

Cell lengths 10.733, 10.733, 3.986 Å; angles 90.00, 90.00, 159.11 degrees
Fractional coordinates of all 11 atoms:
Nb 0.816 0.184 0.000
Nb 0.184 0.816 0.000
Nb 0.000 0.000 0.000
F 0.000 0.000 0.500
O 0.817 0.183 0.500
O 0.183 0.817 0.500
O 0.907 0.093 0.000
O 0.500 0.500 0.000
O 0.290 0.710 0.000
O 0.710 0.290 0.000
O 0.093 0.907 0.000


[3]
The following is a PBE calculation of a relaxed Cs3Sr2CaI9 crystal, from Alexandria.

Calculated values
The calculation puts the size of the total moment at 0.0 μB per cell. The mass density is 3.7 g cm⁻³. The calculation puts the energy relative to the elements, uncorrected at -1.62 eV/atom. The calculation puts the density of states at the Fermi level at 0.0 states/eV/f.u.

Cell lengths 9.031, 9.031, 11.075 Å; angles 90.00, 90.00, 120.00 degrees
Fractional coordinates of all 15 atoms:
I 0.500 0.500 0.000
I 0.837 0.674 0.662
I 0.163 0.326 0.338
I 0.674 0.837 0.338
I 0.837 0.163 0.662
I 0.163 0.837 0.338
I 0.000 0.500 0.000
I 0.326 0.163 0.662
I 0.500 0.000 0.000
Cs 0.667 0.333 0.333
Cs 0.333 0.667 0.667
Cs 0.000 0.000 0.000
Sr 0.667 0.333 0.828
Sr 0.333 0.667 0.172
Ca 0.000 0.000 0.500


[4]
The following is a PBE calculation of a relaxed CaIr2Br crystal, from Alexandria.

Calculated values
The energy above the most stable polymorph in this dataset is 290 meV per atom. The calculation puts the size of the total moment at 0.0 μB per cell. The mass density is 11.0 g cm⁻³. The calculation puts the energy relative to the elements, uncorrected at 0.04 eV/atom. The calculation puts the density of states at the Fermi level at 2.9 states/eV/f.u.

Cell lengths 5.702, 5.702, 4.518 Å; angles 88.73, 88.73, 31.27 degrees
Fractional coordinates of all 4 atoms:
Ir 0.974 0.974 0.023
Ir 0.526 0.526 0.477
Ca 0.250 0.250 0.250
Br 0.750 0.750 0.750


[5]
The following is a PBE calculation of a relaxed Pr2Zn5Au12 crystal, from Alexandria.

Calculated values
The calculation puts the size of the total moment at 0.0 μB per cell. The mass density is 13.5 g cm⁻³. The formation energy is -6.7 eV per formula unit. The calculation puts the density of states at the Fermi level at 8.2 states/eV/f.u.

Cell lengths 7.223, 7.223, 7.223 Å; angles 81.30, 81.30, 81.30 degrees
Fractional coordinates of all 19 atoms:
Pr 0.648 0.648 0.648
Pr 0.352 0.352 0.352
Zn 0.000 0.500 0.000
Zn 0.000 0.000 0.500
Zn 0.903 0.903 0.903
Zn 0.097 0.097 0.097
Zn 0.500 0.000 0.000
Au 0.341 0.341 0.864
Au 0.304 0.000 0.696
Au 0.696 0.000 0.304
Au 0.136 0.659 0.659
Au 0.696 0.304 0.000
Au 0.864 0.341 0.341
Au 0.659 0.136 0.659
Au 0.659 0.659 0.136
Au 0.000 0.304 0.696
Au 0.341 0.864 0.341
Au 0.304 0.696 0.000
Au 0.000 0.696 0.304


[6]
The following is a PBE calculation of a relaxed Ca2CoOs crystal, from Alexandria.

Calculated values
The energy above the most stable polymorph in this dataset is 532 meV per atom. The calculation puts the size of the total moment at 1.0 μB per cell. The mass density is 7.0 g cm⁻³. The formation energy is 2.7 eV per formula unit. The calculation puts the density of states at the Fermi level at 4.7 states/eV/f.u.

Cell lengths 5.345, 5.345, 2.826 Å; angles 89.96, 89.96, 103.67 degrees
Site moments in Bohr magnetons follow the coordinates.
Fractional coordinates of all 4 atoms:
Ca 0.000 0.000 0.000  -0.04
Ca 0.500 0.500 0.000  -0.04
Co 0.500 0.000 0.500  1.32
Os 0.000 0.500 0.500  -0.02


[7]
The following is a PBE calculation of a relaxed Sr2GaBr crystal, from Alexandria.

Calculated values
The energy above the most stable polymorph in this dataset is 301 meV per atom. The calculation puts the size of the total moment at 0.0 μB per cell. The mass density is 3.5 g cm⁻³. The calculation puts the energy relative to the elements, uncorrected at -0.71 eV/atom. The calculation puts the density of states at the Fermi level at 0.4 states/eV/f.u.

Cell lengths 8.280, 8.280, 7.384 Å; angles 55.90, 55.90, 90.00 degrees
Fractional coordinates of all 8 atoms:
Ga 0.250 0.750 0.500
Ga 0.500 0.500 0.000
Sr 0.375 0.372 0.750
Sr 0.875 0.878 0.750
Sr 0.628 0.125 0.250
Sr 0.122 0.625 0.250
Br 0.000 0.000 0.000
Br 0.750 0.250 0.500


[8]
The following is a PBE calculation of a relaxed Ca2CePrS4 crystal, from Alexandria.

Calculated values
The calculation puts the size of the total moment at 1.4 μB per cell. The mass density is 4.3 g cm⁻³. The calculation puts the energy relative to the elements, uncorrected at -2.04 eV/atom. The calculation puts the density of states at the Fermi level at 7.3 states/eV/f.u.

Cell lengths 4.029, 6.978, 7.116 Å; angles 109.06, 90.00, 90.00 degrees
Site moments in Bohr magnetons follow the coordinates.
Fractional coordinates of all 8 atoms:
Ca 0.000 0.500 0.500  0.00
Ca 0.500 0.000 0.500  0.01
Ce 0.500 0.500 0.000  0.99
S 0.000 0.250 0.743  -0.01
S 0.500 0.255 0.258  -0.01
S 0.000 0.750 0.257  -0.01
S 0.500 0.745 0.742  -0.01
Pr 0.000 0.000 0.000  0.07


> Which formula does entry 8 have?

Ca2CePrS4